Below is crystalline Er4CdRh at its relaxed geometry, with properties calculated at the PBE-GGA level.

**ΔE_f**: -0.5100 eV per atom
**Energy above the most stable polymorph in this dataset**: 0 meV per atom
**D(E_F)**: 15.93 states/eV per cell
**Calculated volume**: 611.61 Å³ per cell

Unit cell a=9.5279 b=9.5279 c=9.5279 alpha=60.00 beta=60.00 gamma=60.00
Atoms (fractional coordinates):
1 Er 0.1862 0.1862 0.8138
2 Er 0.1862 0.8138 0.1862
3 Er 0.1862 0.8138 0.8138
4 Er 0.4001 0.4001 0.4001
5 Er 0.4001 0.4001 0.7997
6 Er 0.4001 0.7997 0.4001
7 Er 0.5610 0.5610 0.9390
8 Er 0.5610 0.9390 0.5610
9 Er 0.5610 0.9390 0.9390
10 Er 0.7997 0.4001 0.4001
11 Er 0.8138 0.1862 0.1862
12 Er 0.8138 0.1862 0.8138
13 Er 0.8138 0.8138 0.1862
14 Er 0.9390 0.5610 0.5610
15 Er 0.9390 0.5610 0.9390
16 Er 0.9390 0.9390 0.5610
17 Cd 0.1687 0.1687 0.1687
18 Cd 0.1687 0.1687 0.4938
19 Cd 0.1687 0.4938 0.1687
20 Cd 0.4938 0.1687 0.1687
21 Rh 0.1780 0.6073 0.6073
22 Rh 0.6073 0.1780 0.6073
23 Rh 0.6073 0.6073 0.1780
24 Rh 0.6073 0.6073 0.6073